# Tb2Mg

Tb2Mg after structural relaxation (PBE, Alexandria via LeMat-Bulk).

Computed properties:
- E above lowest polymorph: 0 meV/atom
- Energy of formation from the pure elements: -43 meV/atom
- SG: No. 123
- Calculated volume: 174 Å³ per cell

Cell lengths 3.6940, 3.6940, 12.7651 Å; angles 90.00, 90.00, 90.00 degrees
Last column: nearest neighbours and their distance in Å.
Fractional coordinates of all 6 atoms:
Tb: 0.0000 0.0000 0.0000  8 Mg 3.26
Tb: 0.0000 0.0000 0.3092  4 Mg 3.29, 4 Tb 3.57
Tb: 0.0000 0.0000 0.6908  4 Mg 3.29, 4 Tb 3.57
Tb: 0.5000 0.5000 0.5000  12 Tb 3.57-3.69
Mg: 0.5000 0.5000 0.1530  8 Tb 3.26-3.29
Mg: 0.5000 0.5000 0.8470  8 Tb 3.26-3.29